(1)
An optimized crystal structure of Ac2Ag5Ge3, computed with PBE-GGA.

Values from the calculation:
**Total moment**: 0.000 μB per atom
**DFT formation energy**: -0.254 eV per atom
**Relative energy among the computed polymorphs**: 0.099 eV/atom
**Crystal system**: tetragonal

```
data_Ac2Ag5Ge3
_cell_length_a 4.8614
_cell_length_b 4.8614
_cell_length_c 9.9839
_cell_angle_alpha 90.00
_cell_angle_beta 90.00
_cell_angle_gamma 90.00
_symmetry_space_group_name_H-M 'P -4 m 2'
_symmetry_Int_Tables_number 115
loop_
_symmetry_equiv_pos_as_xyz
'x,y,z'
'y,-x,-z'
'-x,-y,z'
'-y,x,-z'
'-x,y,z'
'-y,-x,-z'
'x,-y,z'
'y,x,-z'
loop_
_atom_site_label
_atom_site_type_symbol
_atom_site_fract_x
_atom_site_fract_y
_atom_site_fract_z
Ac1 Ac 0.0000 0.5000 0.2427
Ag1 Ag 0.0000 0.0000 0.5000
Ag2 Ag 0.0000 0.5000 0.6303
Ag3 Ag 0.5000 0.5000 0.0000
Ag4 Ag 0.5000 0.5000 0.5000
Ge1 Ge 0.0000 0.0000 0.0000
Ge2 Ge 0.0000 0.5000 0.8837
```

(2)
An optimized crystal structure of Ac12AgGe7, computed with PBE-GGA.

Values from the calculation:
**Total moment**: 0.000 μB per atom
**DFT formation energy**: -0.364 eV per atom
**Crystal system**: trigonal

```
data_Ac12AgGe7
_cell_length_a 16.1544
_cell_length_b 16.1544
_cell_length_c 9.5995
_cell_angle_alpha 90.00
_cell_angle_beta 90.00
_cell_angle_gamma 120.00
_symmetry_space_group_name_H-M 'R -3'
_symmetry_Int_Tables_number 148
_symmetry_space_group_name_Hall '-R 3'
loop_
_atom_site_label
_atom_site_type_symbol
_atom_site_fract_x
_atom_site_fract_y
_atom_site_fract_z
Ac1 Ac 0.0215 0.5834 0.3194
Ac2 Ac 0.0451 0.8725 0.2727
Ag1 Ag 0.0000 0.0000 0.0000
Ge1 Ge 0.0000 0.0000 0.5000
Ge2 Ge 0.0479 0.8638 0.9214
```

(3)
An optimized crystal structure of AcAg2Ge, computed with PBE-GGA.

Values from the calculation:
**Total moment**: 0.000 μB per atom
**DFT formation energy**: -0.347 eV per atom
**Crystal system**: orthorhombic

```
data_AcAg2Ge
_cell_length_a 4.6593
_cell_length_b 11.0601
_cell_length_c 7.4157
_cell_angle_alpha 90.00
_cell_angle_beta 90.00
_cell_angle_gamma 90.00
_symmetry_space_group_name_H-M 'C m c m'
_symmetry_Int_Tables_number 63
_symmetry_space_group_name_Hall '-C 2c 2'
loop_
_atom_site_label
_atom_site_type_symbol
_atom_site_fract_x
_atom_site_fract_y
_atom_site_fract_z
Ac1 Ac 0.0000 0.0827 0.2500
Ag1 Ag 0.0000 0.3723 0.0584
Ge1 Ge 0.0000 0.2099 0.7500
```